1.
Compound: TlOsAu2
Source: Alexandria
Functional: SCAN
Structure: PBEsol geometry

It has space group Cmmm (No. 65), with a = 5.5809 Å, b = 8.2303 Å, c = 3.0276 Å, α = 90.00°, β = 90.00° and γ = 90.00°. Symmetry generates all atoms from Tl at (0.0000, 0.0000, 0.0000), Os at (0.0000, 0.5000, 0.0000) and Au at (0.2500, 0.2500, 0.5000).

The value obtained for the offset from the most stable computed form is 0.5 kJ per mole of atoms. Its formation energy is 0.659 eV per atom. The electronic total energy comes out at -69.979 eV per atom.



2.
Compound: TlOs2Au
Source: Alexandria
Functional: SCAN
Structure: PBEsol geometry

It has space group I-4m2 (No. 119), with a = 4.0484 Å, b = 4.0484 Å, c = 7.9220 Å, α = 90.00°, β = 90.00° and γ = 90.00°. Symmetry generates all atoms from Tl at (0.0000, 0.0000, 0.0000), Os at (0.0000, 0.0000, 0.5000), Os at (0.0000, 0.5000, 0.7500) and Au at (0.0000, 0.5000, 0.2500).

The value obtained for the offset from the most stable computed form is 0.0 kJ per mole of atoms. Its formation energy is 1.010 eV per atom. The electronic total energy comes out at -70.309 eV per atom.



3.
Compound: TlOsAu2
Source: Alexandria
Functional: SCAN
Structure: PBEsol geometry

It has space group R3m (No. 160, hexagonal axes), with a = 2.9327 Å, b = 2.9327 Å, c = 28.2722 Å, α = 90.00°, β = 90.00° and γ = 120.00°. Symmetry generates all atoms from Tl at (0.0000, 0.0000, 0.0000), Os at (0.0000, 0.0000, 0.7505), Au at (0.0000, 0.0000, 0.2420) and Au at (0.0000, 0.0000, 0.4939).

The value obtained for the offset from the most stable computed form is 0.0 kJ per mole of atoms. Its formation energy is 0.654 eV per atom. The electronic total energy comes out at -69.984 eV per atom.



4.
Compound: TlOs2Au
Source: Alexandria
Functional: SCAN
Structure: PBEsol geometry

It has space group P4/mmm (No. 123), with a = 2.9278 Å, b = 2.9278 Å, c = 7.6301 Å, α = 90.00°, β = 90.00° and γ = 90.00°. Symmetry generates all atoms from Tl at (0.0000, 0.0000, 0.0000), Os at (0.5000, 0.5000, 0.2685) and Au at (0.0000, 0.0000, 0.5000).

The value obtained for the offset from the most stable computed form is 15.4 kJ per mole of atoms. Its formation energy is 1.169 eV per atom. The electronic total energy comes out at -70.149 eV per atom.



5.
Compound: Tm2OsAu
Source: Alexandria
Functional: SCAN
Structure: PBEsol geometry

It has space group Fm-3m (No. 225), with a = 6.7863 Å, b = 6.7863 Å, c = 6.7863 Å, α = 90.00°, β = 90.00° and γ = 90.00°. Symmetry generates all atoms from Tm at (0.2500, 0.2500, 0.2500), Os at (0.0000, 0.0000, 0.0000) and Au at (0.0000, 0.0000, 0.5000).

Its formation energy is -0.752 eV per atom. The electronic total energy comes out at -61.927 eV per atom.



6.
Compound: OsWAu2
Source: Alexandria
Functional: SCAN
Structure: PBEsol geometry

It has space group P4mm (No. 99), with a = 2.8200 Å, b = 2.8200 Å, c = 7.9952 Å, α = 90.00°, β = 90.00° and γ = 90.00°. Symmetry generates all atoms from Os at (0.0000, 0.0000, 0.0000), W at (0.5000, 0.5000, 0.2155), Au at (0.0000, 0.0000, 0.4728) and Au at (0.5000, 0.5000, 0.7418).

The value obtained for the offset from the most stable computed form is 0.0 kJ per mole of atoms. Its formation energy is 0.235 eV per atom. The electronic total energy comes out at -69.735 eV per atom.



7.
Compound: Os2WAu
Source: Alexandria
Functional: SCAN
Structure: PBEsol geometry

It has space group I4/mmm (No. 139), with a = 3.9521 Å, b = 3.9521 Å, c = 7.6341 Å, α = 90.00°, β = 90.00° and γ = 90.00°. Symmetry generates all atoms from Os at (0.0000, 0.5000, 0.2500), W at (0.0000, 0.0000, 0.0000) and Au at (0.0000, 0.0000, 0.5000).

The value obtained for the offset from the most stable computed form is 4.7 kJ per mole of atoms. Its formation energy is 0.331 eV per atom. The electronic total energy comes out at -70.320 eV per atom.



8.
Compound: OsWAu2
Source: Alexandria
Functional: SCAN
Structure: PBEsol geometry

It has space group R-3m (No. 166, hexagonal axes), with a = 2.7847 Å, b = 2.7847 Å, c = 27.9740 Å, α = 90.00°, β = 90.00° and γ = 120.00°. Symmetry generates all atoms from Os at (0.0000, 0.0000, 0.0000), W at (0.0000, 0.0000, 0.5000) and Au at (0.0000, 0.0000, 0.2504).

The value obtained for the offset from the most stable computed form is 30.8 kJ per mole of atoms. Its formation energy is 0.555 eV per atom. The electronic total energy comes out at -69.416 eV per atom.